# 1
This record from Alexandria describes a PBEsol-optimized structure of AgSeCl2. The functional is meta-GGA SCAN.

Unit cell a=3.3250 b=5.8812 c=8.3046 alpha=90.00 beta=90.00 gamma=90.00
Space group Cmmm (No. 65)
Unique sites:
Ag 0.0000 0.0000 0.0000 (multiplicity 2)
Se 0.0000 0.0000 0.5000 (multiplicity 2)
Cl 0.0000 0.5000 0.2218 (multiplicity 4)

***

# 2
This record from Alexandria describes a PBEsol-optimized structure of Ag2SeCl. The functional is meta-GGA SCAN.

Values from the calculation:
Excess energy over the best structure of this formula in the dataset: 0 meV per atom

Unit cell a=3.7874 b=3.7874 c=5.5143 alpha=90.00 beta=90.00 gamma=90.00
Space group P4/mmm (No. 123)
Unique sites:
Ag 0.0000 0.0000 0.0000 (multiplicity 1)
Ag 0.5000 0.5000 0.5000 (multiplicity 1)
Se 0.0000 0.0000 0.5000 (multiplicity 1)
Cl 0.5000 0.5000 0.0000 (multiplicity 1)

***

# 3
This record from Alexandria describes a PBEsol-optimized structure of AgSeCl3. The functional is meta-GGA SCAN.

Unit cell a=4.9372 b=4.9372 c=4.9372 alpha=90.00 beta=90.00 gamma=90.00
Space group Pm-3m (No. 221)
Unique sites:
Ag 0.0000 0.0000 0.0000 (multiplicity 1)
Se 0.5000 0.5000 0.5000 (multiplicity 1)
Cl 0.0000 0.0000 0.5000 (multiplicity 3)

***

# 4
This record from Alexandria describes a PBEsol-optimized structure of Ag2SeCl. The functional is meta-GGA SCAN.

Values from the calculation:
Excess energy over the best structure of this formula in the dataset: 11 meV per atom

Unit cell a=6.6219 b=3.6765 c=6.9899 alpha=90.00 beta=109.51 gamma=90.00
Space group C2/m (No. 12)
Unique sites:
Ag 0.2474 0.0000 0.2634 (multiplicity 4)
Se 0.0000 0.0000 0.5000 (multiplicity 2)
Cl 0.0000 0.5000 0.0000 (multiplicity 2)

***

# 5
This record from Alexandria describes a PBEsol-optimized structure of Ag2SeCl. The functional is meta-GGA SCAN.

Values from the calculation:
Excess energy over the best structure of this formula in the dataset: 126 meV per atom

Unit cell a=3.1737 b=4.2186 c=5.9406 alpha=90.00 beta=90.00 gamma=90.00
Space group Pmmm (No. 47)
Unique sites:
Ag 0.0000 0.0000 0.0000 (multiplicity 1)
Ag 0.0000 0.5000 0.5000 (multiplicity 1)
Se 0.5000 0.0000 0.5000 (multiplicity 1)
Cl 0.5000 0.5000 0.0000 (multiplicity 1)

***

# 6
This record from Alexandria describes a PBEsol-optimized structure of AgSeCl. The functional is meta-GGA SCAN.

Unit cell a=3.0161 b=3.0161 c=13.7447 alpha=90.00 beta=90.00 gamma=90.00
Space group I4mm (No. 107)
Unique sites:
Ag 0.0000 0.0000 0.0000 (multiplicity 2)
Se 0.0000 0.0000 0.3601 (multiplicity 2)
Cl 0.0000 0.0000 0.6252 (multiplicity 2)

***

# 7
This record from Alexandria describes a PBEsol-optimized structure of SiAgCl2. The functional is meta-GGA SCAN.

Values from the calculation:
Excess energy over the best structure of this formula in the dataset: 125 meV per atom

Unit cell a=8.0808 b=3.1391 c=6.2198 alpha=90.00 beta=96.67 gamma=90.00
Space group C2/m (No. 12)
Unique sites:
Si 0.0000 0.0000 0.0000 (multiplicity 2)
Ag 0.0000 0.5000 0.5000 (multiplicity 2)
Cl 0.2177 0.0000 0.7436 (multiplicity 4)

***

# 8
This record from Alexandria describes a PBEsol-optimized structure of Si3AgCl. The functional is meta-GGA SCAN.

Unit cell a=4.8418 b=4.8418 c=4.8418 alpha=90.00 beta=90.00 gamma=90.00
Space group Pm-3m (No. 221)
Unique sites:
Si 0.0000 0.0000 0.5000 (multiplicity 3)
Ag 0.0000 0.0000 0.0000 (multiplicity 1)
Cl 0.5000 0.5000 0.5000 (multiplicity 1)

***

# 9
This record from Alexandria describes a PBEsol-optimized structure of SiAgCl2. The functional is meta-GGA SCAN.

Values from the calculation:
Excess energy over the best structure of this formula in the dataset: 88 meV per atom

Unit cell a=3.1669 b=5.6345 c=8.8354 alpha=90.00 beta=90.00 gamma=90.00
Space group Imm2 (No. 44)
Unique sites:
Si 0.0000 0.0000 0.0000 (multiplicity 2)
Ag 0.0000 0.5000 0.7157 (multiplicity 2)
Cl 0.0000 0.0000 0.4530 (multiplicity 2)
Cl 0.0000 0.5000 0.2847 (multiplicity 2)

***

# 10
This record from Alexandria describes a PBEsol-optimized structure of SiAgCl2. The functional is meta-GGA SCAN.

Values from the calculation:
Excess energy over the best structure of this formula in the dataset: 238 meV per atom

Unit cell a=3.7160 b=3.7160 c=12.2031 alpha=90.00 beta=90.00 gamma=90.00
Space group I-4m2 (No. 119)
Unique sites:
Si 0.0000 0.0000 0.0000 (multiplicity 2)
Ag 0.0000 0.5000 0.2500 (multiplicity 2)
Cl 0.0000 0.0000 0.5000 (multiplicity 2)
Cl 0.0000 0.5000 0.7500 (multiplicity 2)

***

# 11
This record from Alexandria describes a PBEsol-optimized structure of SiAgCl2. The functional is meta-GGA SCAN.

Values from the calculation:
Excess energy over the best structure of this formula in the dataset: 0 meV per atom

Unit cell a=3.2380 b=4.2588 c=13.2300 alpha=90.00 beta=90.00 gamma=90.00
Space group Immm (No. 71)
Unique sites:
Si 0.0000 0.0000 0.0000 (multiplicity 2)
Ag 0.0000 0.0000 0.5000 (multiplicity 2)
Cl 0.0000 0.5000 0.3515 (multiplicity 4)

***

# 12
This record from Alexandria describes a PBEsol-optimized structure of SiAgCl2. The functional is meta-GGA SCAN.

Values from the calculation:
Excess energy over the best structure of this formula in the dataset: 84 meV per atom

Unit cell a=7.3313 b=7.3666 c=3.1065 alpha=90.00 beta=91.14 gamma=90.00
Space group C2/m (No. 12)
Unique sites:
Si 0.0000 0.0000 0.0000 (multiplicity 2)
Ag 0.0000 0.5000 0.0000 (multiplicity 2)
Cl 0.2500 0.2500 0.0000 (multiplicity 4)

***

Record-wise formation energy from raw total energies values, in kcal/mol of atoms: 2.5, -6.1, 1.9, -5.8, -3.1, 2.0, 0.0, 26.3, -0.8, 2.7, -2.8, -0.9
Record-wise magnetization values, in μB/cell: 0.002, 0.003, 3.019, 0.018, 0.000, 0.695, 0.000, 0.822, 0.000, 1.966, 0.000, 0.000
Record-wise E_tot values, in eV per atom: -16.7416, -22.9600, -14.9955, -22.9491, -22.8337, -19.7228, -14.3327, -12.7367, -14.3702, -14.2197, -14.4578, -14.3733